Record 1
Entry from the Alexandria database: an optimized crystal structure of LaFe2Hg (GGA-PBE). Values from VASP.

Structure (Quantum ESPRESSO input):
```
&SYSTEM
  ibrav = 0, nat = 4, ntyp = 3
/
ATOMIC_SPECIES
Fe 55.84 Fe.upf
Hg 200.59 Hg.upf
La 138.91 La.upf
CELL_PARAMETERS angstrom
-2.402 1.516 7.792
-1.665 -1.814 7.919
0.826 0.499 8.237
ATOMIC_POSITIONS angstrom
Fe -3.229 0.200 23.859
Fe -1.633 0.101 12.063
Hg -0.810 0.050 5.987
La -2.431 0.151 17.961
```

volume = 81.3 Å³/cell
spin magnetization = 4.498 μB per cell
formation energy = 0.694 eV per atom

***

Record 2
Entry from the Alexandria database: an optimized crystal structure of TbCeGeTe (GGA-PBE). Values from VASP.

Structure (Quantum ESPRESSO input):
```
&SYSTEM
  ibrav = 0, nat = 4, ntyp = 4
/
ATOMIC_SPECIES
Tb 158.93 Tb.upf
Ce 140.12 Ce.upf
Ge 72.64 Ge.upf
Te 127.60 Te.upf
CELL_PARAMETERS angstrom
-1.243 2.222 -3.474
2.104 -0.478 -3.728
-4.141 -4.737 -4.218
ATOMIC_POSITIONS angstrom
Tb -1.529 -1.363 -5.664
Ce 0.739 1.597 -7.252
Ge -0.831 -0.762 -2.860
Te -2.438 -2.218 -8.556
```

energy relative to the elements, uncorrected = -1.142 eV per atom
volume = 114.9 Å³/cell
spin magnetization = 0.690 μB per cell

***

Record 3
Entry from the Alexandria database: an optimized crystal structure of LaPd2Ru (GGA-PBE). Values from VASP.

Structure (Quantum ESPRESSO input):
```
&SYSTEM
  ibrav = 0, nat = 8, ntyp = 3
/
ATOMIC_SPECIES
Ru 101.07 Ru.upf
Pd 106.42 Pd.upf
La 138.91 La.upf
CELL_PARAMETERS angstrom
4.029 0.000 0.000
0.000 4.029 0.000
2.014 2.014 9.764
ATOMIC_POSITIONS angstrom
Ru 2.014 2.014 0.000
Ru 2.014 4.029 4.882
Pd 2.926 1.007 2.441
Pd 1.103 3.022 2.441
Pd 3.022 3.117 7.323
Pd 5.036 4.940 7.323
La 0.000 0.000 0.000
La 4.029 2.014 4.882
```

volume = 158.5 Å³/cell
spin magnetization = 0.000 μB per cell
formation energy = 0.004 eV per atom

***

Record 4
Entry from the Alexandria database: an optimized crystal structure of KZn2SiO4 (GGA-PBE). Values from VASP.

Structure (Quantum ESPRESSO input):
```
&SYSTEM
  ibrav = 0, nat = 8, ntyp = 4
/
ATOMIC_SPECIES
K 39.10 K.upf
Zn 65.41 Zn.upf
Si 28.09 Si.upf
O 16.00 O.upf
CELL_PARAMETERS angstrom
-4.659 0.172 2.732
-2.605 -1.952 -4.313
4.208 -2.522 1.987
ATOMIC_POSITIONS angstrom
K -3.056 -4.301 0.406
Zn -2.042 -1.619 1.964
Zn -1.015 -2.682 -1.558
Si -3.632 -0.890 -0.790
O -0.865 -2.808 0.594
O -3.113 -2.187 -1.716
O -3.841 -1.434 0.781
O 1.707 -2.178 1.154
```

energy relative to the elements, uncorrected = -1.734 eV per atom
volume = 106.9 Å³/cell
spin magnetization = 0.000 μB per cell

***

Record 5
Entry from the Alexandria database: an optimized crystal structure of LaSm2Pu (GGA-PBE). Values from VASP.

Structure (Quantum ESPRESSO input):
```
&SYSTEM
  ibrav = 0, nat = 4, ntyp = 3
/
ATOMIC_SPECIES
La 138.91 La.upf
Sm 150.36 Sm.upf
Pu 244.00 Pu.upf
CELL_PARAMETERS angstrom
-2.747 0.149 -4.364
3.323 -3.079 -2.196
-2.668 -3.981 1.543
ATOMIC_POSITIONS angstrom
La -1.046 -3.455 -2.509
Sm -1.334 -1.990 0.772
Sm 1.662 -1.539 -1.098
Pu -1.373 0.074 -2.182
```

volume = 130.7 Å³/cell
spin magnetization = 6.501 μB per cell
formation energy = 0.151 eV per atom

***

Record 6
Entry from the Alexandria database: an optimized crystal structure of Pr2HfGe3Ir4 (GGA-PBE). Values from VASP.

Structure (Quantum ESPRESSO input):
```
&SYSTEM
  ibrav = 0, nat = 10, ntyp = 4
/
ATOMIC_SPECIES
Pr 140.91 Pr.upf
Hf 178.49 Hf.upf
Ge 72.64 Ge.upf
Ir 192.22 Ir.upf
CELL_PARAMETERS angstrom
4.212 0.000 0.000
0.000 4.212 0.000
0.000 0.000 10.971
ATOMIC_POSITIONS angstrom
Pr 2.106 0.000 2.586
Pr 0.000 2.106 8.385
Hf 2.106 2.106 5.485
Ge 0.000 0.000 5.485
Ge 2.106 0.000 9.598
Ge 0.000 2.106 1.373
Ir 2.106 2.106 0.000
Ir 0.000 0.000 0.000
Ir 2.106 0.000 7.088
Ir 0.000 2.106 3.883
```

volume = 194.6 Å³/cell
spin magnetization = 0.000 μB per cell
formation energy = -0.820 eV per atom

***

Number 1: E_tot -4.844 eV/atom. Number 2: E_tot -5.723 eV/atom. Number 3: E_tot -6.143 eV/atom. Number 4: E_tot -5.346 eV/atom. Number 5: E_tot -7.023 eV/atom. Number 6: E_tot -7.701 eV/atom.